Entry from Alexandria: Tb6Dy2Ho3Tm after structural relaxation (PBE).

Values from the calculation:
Symmetry: No. 12
Magnetic moment (Bohr magnetons per cell): 0.00
Electronic total energy (eV for the cell shown): -55.00
V (Å³/f.u.): 374.2

Geometry as extended XYZ:
```
12
Lattice="3.063 -5.300 0.000 3.063 5.300 0.000 -2.030 0.000 11.526" Properties=species:S:1:pos:R:3 pbc="T T T"
Tb 0.009 1.765 8.643
Tb 1.021 0.000 2.881
Tb 0.009 -1.765 8.643
Tb 4.086 1.765 2.883
Tb 3.075 0.000 8.645
Tb 4.086 -1.765 2.883
Dy 2.048 1.766 5.763
Dy 2.048 -1.766 5.763
Ho 3.063 3.534 0.000
Ho 3.063 0.000 0.000
Ho 3.063 -3.534 0.000
Tm -1.015 0.000 5.763
```

---

Entry from Alexandria: NiRuPt2 after structural relaxation (PBE).

Values from the calculation:
Symmetry: No. 119
Magnetic moment (Bohr magnetons per cell): 0.66
Electronic total energy (eV for the cell shown): -54.24
V (Å³/f.u.): 56.5

Geometry as extended XYZ:
```
8
Lattice="3.840 0.000 0.000 0.000 3.840 0.000 0.000 0.000 7.658" Properties=species:S:1:pos:R:3 pbc="T T T"
Ni 0.000 0.000 0.000
Ni 1.920 1.920 3.829
Ru 0.000 1.920 5.743
Ru 1.920 0.000 1.914
Pt 0.000 0.000 3.829
Pt 0.000 1.920 1.914
Pt 1.920 0.000 5.743
Pt 1.920 1.920 0.000
```

---

Entry from Alexandria: CeTl4Hg15 after structural relaxation (PBE).

Values from the calculation:
Symmetry: No. 123
Magnetic moment (Bohr magnetons per cell): 1.45
Electronic total energy (eV for the cell shown): -21.32
V (Å³/f.u.): 562.1

Geometry as extended XYZ:
```
20
Lattice="4.784 0.000 0.000 0.000 4.784 0.000 0.000 0.000 24.555" Properties=species:S:1:pos:R:3 pbc="T T T"
Ce 0.000 0.000 0.000
Tl 0.000 0.000 4.837
Tl 0.000 0.000 9.842
Tl 0.000 0.000 14.713
Tl 0.000 0.000 19.718
Hg 0.000 2.392 2.320
Hg 0.000 2.392 7.262
Hg 0.000 2.392 12.277
Hg 0.000 2.392 17.292
Hg 0.000 2.392 22.235
Hg 2.392 0.000 2.320
Hg 2.392 0.000 7.262
Hg 2.392 0.000 12.277
Hg 2.392 0.000 17.292
Hg 2.392 0.000 22.235
Hg 2.392 2.392 0.000
Hg 2.392 2.392 4.719
Hg 2.392 2.392 9.654
Hg 2.392 2.392 14.901
Hg 2.392 2.392 19.835
```

---

- Look up the V of the third one.
  562.1 Å³/f.u.